BaSrCoPt2: optimized geometry, PBE.

Cell lengths 5.0178, 4.9297, 5.0178 Å; angles 90.00, 90.00, 90.00 degrees
Last column: nearest neighbours and their distance in Å.
Fractional coordinates of all 5 atoms:
Sr1 0.0000 0.5000 0.0000  2 Co 2.46
Co1 0.0000 0.0000 0.0000  2 Sr 2.46, 4 Pt 2.51
Ba1 0.5000 0.5000 0.5000  8 Pt 3.52, 4 Sr 3.55
Pt1 0.0000 0.0000 0.5000  2 Co 2.51
Pt2 0.5000 0.0000 0.0000  2 Co 2.51

density of states at the Fermi level	4.13	states/eV per cell
energy of formation from the pure elements	-0.0498	eV per atom
total DFT energy (no corrections)	-4.608	eV/atom
symmetry	P4/mmm, No. 123

=====

LaFeRu2: optimized geometry, PBE.

Cell lengths 4.3508, 3.0255, 5.6450 Å; angles 75.20, 90.00, 90.00 degrees
Last column: nearest neighbours and their distance in Å.
Fractional coordinates of all 4 atoms:
Fe1 0.0000 0.3417 0.4459  4 Ru 2.46-2.49
La1 0.5000 0.7083 0.7354  1 Ru 2.73, 2 La 3.03
Ru1 0.0000 0.0150 0.0838  2 Fe 2.49, 2 Ru 2.76
Ru2 0.5000 0.4350 0.2348  2 Fe 2.46, 1 La 2.73

density of states at the Fermi level	5.22	states/eV per cell
energy of formation from the pure elements	0.3050	eV per atom
total DFT energy (no corrections)	-7.680	eV/atom
symmetry	Pm, No. 6

=====

PdWSeBr2: optimized geometry, PBE.

Cell lengths 4.9732, 4.9732, 5.1328 Å; angles 90.00, 90.00, 90.00 degrees
Last column: nearest neighbours and their distance in Å.
Fractional coordinates of all 5 atoms:
Br1 0.0000 0.5000 0.0000  2 Pd 2.49
Br2 0.5000 0.0000 0.0000  2 Pd 2.49
Se1 0.0000 0.0000 0.5000  2 Pd 2.57
Pd1 0.0000 0.0000 0.0000  4 Br 2.49, 2 Se 2.57
W1 0.5000 0.5000 0.5000  4 Se 3.52, 8 Br 3.57

density of states at the Fermi level	6.38	states/eV per cell
total DFT energy (no corrections)	-3.873	eV/atom
symmetry	P4/mmm, No. 123

=====

LiDy3: optimized geometry, PBE.

Cell lengths 5.4668, 5.4668, 5.4668 Å; angles 60.00, 60.00, 60.00 degrees
Last column: nearest neighbours and their distance in Å.
Fractional coordinates of all 4 atoms:
Li1 0.5000 0.5000 0.5000  8 Dy 3.35
Dy1 0.0000 0.0000 0.0000  8 Dy 3.35
Dy2 0.7500 0.7500 0.7500  4 Li 3.35, 4 Dy 3.35
Dy3 0.2500 0.2500 0.2500  4 Dy 3.35, 4 Li 3.35

density of states at the Fermi level	3.05	states/eV per cell
energy of formation from the pure elements	0.1793	eV per atom
total DFT energy (no corrections)	-3.751	eV/atom
symmetry	Fm-3m, No. 225

=====

K2TlCl4: optimized geometry, PBE.

Cell lengths 4.5871, 7.7811, 12.5950 Å; angles 90.00, 90.00, 90.00 degrees
Last column: nearest neighbours and their distance in Å.
Fractional coordinates of all 14 atoms:
K1 0.5000 0.9160 0.8152  7 Cl 3.17-3.52
K2 0.5000 0.0840 0.1848  7 Cl 3.17-3.52
K3 0.5000 0.4160 0.6848  7 Cl 3.17-3.52
K4 0.5000 0.5840 0.3152  7 Cl 3.17-3.52
Tl1 0.0000 0.0000 0.5000  6 Cl 2.82-2.93
Tl2 0.0000 0.5000 0.0000  6 Cl 2.82-2.93
Cl1 0.0000 0.6372 0.7929  1 Tl 2.82
Cl2 0.0000 0.3628 0.2071  1 Tl 2.82
Cl3 0.0000 0.1372 0.7071  1 Tl 2.82
Cl4 0.0000 0.8628 0.2929  1 Tl 2.82
Cl5 0.5000 0.7786 0.5491  2 Tl 2.93
Cl6 0.5000 0.2214 0.4509  2 Tl 2.93
Cl7 0.5000 0.7214 0.0491  2 Tl 2.93
Cl8 0.5000 0.2786 0.9509  2 Tl 2.93

density of states at the Fermi level	7.11	states/eV per cell
total DFT energy (no corrections)	-3.133	eV/atom
symmetry	Pbam, No. 55

=====

PuInHg3: optimized geometry, PBE.

Cell lengths 5.5763, 6.0030, 9.7156 Å; angles 72.00, 90.00, 90.00 degrees
Last column: nearest neighbours and their distance in Å.
Fractional coordinates of all 10 atoms:
Pu1 0.7500 0.1546 0.6908  8 Hg 3.17-3.25
Pu2 0.2500 0.8454 0.3092  8 Hg 3.17-3.25
In1 0.7500 0.4594 0.0812  2 In 3.17, 6 Hg 3.22-3.39
In2 0.2500 0.5406 0.9188  2 In 3.17, 6 Hg 3.22-3.39
Hg1 0.7500 0.5561 0.3891  2 Hg 2.99-3.01, 3 Pu 3.17-3.25, 1 In 3.22
Hg2 0.7500 0.0548 0.3891  2 Hg 2.99-3.01, 3 Pu 3.17-3.25, 1 In 3.22
Hg3 0.2500 0.9452 0.6109  2 Hg 2.99-3.01, 3 Pu 3.17-3.25, 1 In 3.22
Hg4 0.2500 0.4439 0.6109  2 Hg 2.99-3.01, 3 Pu 3.17-3.25, 1 In 3.22
Hg5 0.0000 0.0000 0.0000  2 Hg 2.79
Hg6 0.5000 0.0000 0.0000  2 Hg 2.79

density of states at the Fermi level	33.26	states/eV per cell
energy of formation from the pure elements	0.1331	eV per atom
total DFT energy (no corrections)	-3.462	eV/atom
symmetry	Cmcm, No. 63

=====

Cr2Ir: optimized geometry, PBE.

Cell lengths 4.7288, 4.7288, 4.7288 Å; angles 60.00, 60.00, 60.00 degrees
Last column: nearest neighbours and their distance in Å.
Fractional coordinates of all 6 atoms:
Cr1 0.0000 0.5000 0.5000  6 Cr 2.36
Cr2 0.5000 0.0000 0.5000  6 Cr 2.36
Cr3 0.5000 0.5000 0.0000  6 Cr 2.36
Cr4 0.5000 0.5000 0.5000  6 Cr 2.36
Ir1 0.1250 0.1250 0.1250  12 Cr 2.77, 4 Ir 2.90
Ir2 0.8750 0.8750 0.8750  12 Cr 2.77, 4 Ir 2.90

density of states at the Fermi level	5.50	states/eV per cell
energy of formation from the pure elements	-0.1099	eV per atom
total DFT energy (no corrections)	-9.479	eV/atom
symmetry	Fd-3m, No. 227

=====

SrCdGa2Ag2: optimized geometry, PBE.

Cell lengths 4.6173, 4.6173, 7.3364 Å; angles 90.00, 90.00, 120.00 degrees
Last column: nearest neighbours and their distance in Å.
Fractional coordinates of all 6 atoms:
Sr1 0.0000 0.0000 0.0000  6 Ga 3.35, 6 Ag 3.56, 2 Cd 3.67
Cd1 0.0000 0.0000 0.5000  6 Ag 2.97, 6 Ga 3.13
Ga1 0.6667 0.3333 0.7238  4 Ag 2.69-2.94
Ga2 0.3333 0.6667 0.2762  4 Ag 2.69-2.94
Ag1 0.6667 0.3333 0.3224  4 Ga 2.69-2.94, 3 Cd 2.97
Ag2 0.3333 0.6667 0.6776  4 Ga 2.69-2.94, 3 Cd 2.97

density of states at the Fermi level	2.96	states/eV per cell
energy of formation from the pure elements	-0.2352	eV per atom
total DFT energy (no corrections)	-2.627	eV/atom
symmetry	P-3m1, No. 164